VASP calculation (PBE) on crystalline Th2Cd5Pd2Au3 at its relaxed geometry.

a b c (Å): 16.0025 16.0025 16.0025
angles (deg): 165.18 165.18 21.02
Last column: nearest neighbours and their distance in Å.
Element x y z (fractional)
1 Th 0.2154 0.2154 0.0000  1 Pd 2.60
2 Th 0.7846 0.7846 0.0000  1 Pd 2.60
3 Cd 0.0000 0.0000 0.0000  4 Au 2.92, 8 Cd 3.11
4 Cd 0.0740 0.5740 0.5000  2 Pd 2.77, 4 Cd 2.92
5 Cd 0.4260 0.9260 0.5000  2 Pd 2.77, 4 Cd 2.92
6 Cd 0.5740 0.0740 0.5000  2 Pd 2.77, 4 Cd 2.92
7 Cd 0.9260 0.4260 0.5000  2 Pd 2.77, 4 Cd 2.92
8 Pd 0.1327 0.1327 0.0000  1 Th 2.60, 4 Cd 2.77
9 Pd 0.8673 0.8673 0.0000  1 Th 2.60, 4 Cd 2.77
10 Au 0.3257 0.3257 0.0000  5 Th 3.19-3.47, 4 Pd 3.20
11 Au 0.5000 0.5000 0.0000  12 Cd 2.92-3.11
12 Au 0.6743 0.6743 0.0000  5 Th 3.19-3.47, 4 Pd 3.20

- calculated total energy (eV per formula unit) = -42.375
- calculated formation energy (eV/atom) = -0.228
- density of states at the Fermi level (states/eV per atom) = 0.427